1.
4
Lattice="-0.459 1.973 2.330 -3.179 -2.782 1.729 4.139 -3.628 1.775" Properties=species:S:1:pos:R:3 comment="MgCd2Ag (SCAN, PBEsol geometry)" e_tot_ev_per_atom=-24.401 pbc="T T T"
Ag 1.392 -3.921 2.275
Cd -0.040 0.339 0.472
Cd -1.040 -0.620 3.117
Mg 2.029 -1.063 2.021

---

2.
18
Lattice="4.872 0.000 0.000 0.000 7.254 0.000 0.000 -3.627 6.282" Properties=species:S:1:pos:R:3 comment="V5Ge3B (SCAN, PBEsol geometry)" e_tot_ev_per_atom=-17.447 pbc="T T T"
Ge 1.218 1.447 2.506
Ge 3.654 -1.447 2.506
Ge 3.654 2.180 3.776
Ge 3.654 2.894 0.000
Ge 1.218 -2.180 3.776
Ge 1.218 4.360 0.000
V 3.654 -2.742 4.750
V 0.000 3.627 2.094
V 3.654 0.885 1.532
V 0.000 0.000 4.188
V 1.218 1.769 0.000
V 2.436 0.000 4.188
V 1.218 -0.885 1.532
V 3.654 5.485 0.000
V 2.436 3.627 2.094
V 1.218 2.742 4.750
B 2.436 0.000 0.000
B 0.000 0.000 0.000

---

3.
4
Lattice="2.904 0.000 0.000 0.000 4.522 0.000 -1.452 -2.261 3.679" Properties=species:S:1:pos:R:3 comment="FeSi2Ru (SCAN, PBEsol geometry)" e_form_raw_mev_per_atom=-145 pbc="T T T"
Fe 0.000 2.261 0.000
Si 1.452 2.261 1.751
Si 0.000 0.000 1.928
Ru 1.452 0.000 0.000

---

4.
28
Lattice="10.538 0.000 0.000 0.000 10.538 0.000 0.000 0.000 10.538" Properties=species:S:1:pos:R:3 comment="Cs3BiSe3 (SCAN, PBEsol geometry)" e_form_raw_mev_per_atom=-1089 pbc="T T T"
Bi 0.306 0.306 0.306
Bi 4.963 10.232 5.574
Bi 10.232 5.574 4.963
Bi 5.574 4.963 10.232
Cs 1.984 3.285 7.253
Cs 1.881 7.149 8.657
Cs 4.524 0.745 9.793
Cs 3.388 3.388 3.388
Cs 7.253 1.984 3.285
Cs 8.657 1.881 7.149
Cs 7.149 8.657 1.881
Cs 8.554 8.554 8.554
Cs 0.745 9.793 4.524
Cs 6.014 6.014 6.014
Cs 3.285 7.253 1.984
Cs 9.793 4.524 0.745
Se 5.238 2.225 6.381
Se 10.507 3.044 4.156
Se 8.313 1.113 0.031
Se 1.113 0.031 8.313
Se 9.425 5.300 7.493
Se 4.156 10.507 3.044
Se 2.225 6.381 5.238
Se 5.300 7.493 9.425
Se 6.381 5.238 2.225
Se 0.031 8.313 1.113
Se 3.044 4.156 10.507
Se 7.493 9.425 5.300

---

5.
9
Lattice="-3.623 0.918 -3.156 -1.272 -8.084 -0.890 -4.026 4.182 5.836" Properties=species:S:1:pos:R:3 comment="SrMg2 (SCAN, PBEsol geometry)" e_tot_ev_per_atom=-10.767 pbc="T T T"
Mg -4.001 -3.536 -0.226
Mg 0.000 0.000 0.000
Mg -2.786 -5.738 -2.260
Mg -4.919 0.552 2.016
Mg -3.048 -0.452 -0.423
Mg -4.897 3.664 2.896
Sr -3.076 -2.265 2.872
Sr -0.534 -3.391 -0.373
Sr -1.689 1.754 2.448

---

6.
10
Lattice="-0.198 -3.869 -2.706 4.312 1.675 -0.970 2.039 -2.919 4.024" Properties=species:S:1:pos:R:3 comment="K2LiAlH6 (SCAN, PBEsol geometry)" e_tot_ev_per_atom=-5.035 pbc="T T T"
K 1.970 -3.917 -0.252
K 4.183 -1.197 0.600
Al 0.000 0.000 0.000
H 3.688 -2.399 -1.918
H 0.862 -2.566 -2.298
H 3.252 0.372 -1.378
H 2.464 -2.714 2.266
H 4.766 -3.942 0.210
H 1.386 -1.171 0.139
Li 2.057 -1.097 -1.838

---

7.
4
Lattice="-2.872 0.157 0.865 0.661 -1.767 -2.697 1.123 -3.938 4.444" Properties=species:S:1:pos:R:3 comment="CuBrO2 (SCAN, PBEsol geometry)" e_form_raw_mev_per_atom=-279 pbc="T T T"
Br 0.561 -1.969 2.222
O 0.798 -3.601 3.304
O -1.886 -1.947 -0.692
Cu -1.436 0.079 0.432

---

8.
4
Lattice="3.217 0.000 0.005 0.000 3.297 0.000 -0.899 0.000 6.381" Properties=species:S:1:pos:R:3 comment="Zr2PRu (SCAN, PBEsol geometry)" e_tot_ev_per_atom=-27.449 pbc="T T T"
Ru 1.159 1.649 3.193
Zr 2.875 0.000 1.569
Zr -0.557 0.000 4.817
P 1.609 1.649 0.002

---

What is the formula in the third record? FeSi2Ru

---

Number 1 is which compound? MgCd2Ag